[1]
VASP calculation (GGA-PBE) on crystalline AlCuOs at its relaxed geometry.

relative energy among the computed polymorphs: 1.43 eV per formula unit
raw total energy: -17.86 eV for the cell shown
energy relative to the elements: 0.402 eV/atom

```
3
Lattice="4.0307 0.0000 0.0000 2.0154 3.4907 0.0000 2.0154 1.1636 3.2911" Properties=species:S:1:pos:R:3 pbc="T T T"
Cu 0.0000 0.0000 0.0000
Os 4.0307 2.3271 1.6455
Al 6.0461 3.4907 2.4683
```

[2]
VASP calculation (GGA-PBE) on crystalline AlCuOs at its relaxed geometry.

relative energy among the computed polymorphs: 0.63 eV per formula unit
raw total energy: -18.66 eV for the cell shown
energy relative to the elements: 0.135 eV/atom

```
3
Lattice="6.6210 0.0139 -0.0092 5.8435 2.6027 0.0507 0.7775 -0.9480 2.4097" Properties=species:S:1:pos:R:3 pbc="T T T"
Al 12.4588 2.6149 0.0426
Cu 4.7323 0.2582 1.6083
Os 8.5152 1.4121 0.8418
```

Question: Among the records above, which one has the lowest relative energy among the computed polymorphs?
Answer: number 2

Question: Which value of energy relative to the elements does entry 2 give?
Answer: 0.135 eV/atom